{"formula": "Na2CdIn", "functional": "PBE", "state": "relaxed", "lattice": [[4.6170, 0.0000, 0.0000], [0.0000, 4.6170, 0.0000], [0.0000, 0.0000, 4.9577]], "species": ["Na", "Na", "Cd", "In"], "frac_coords": [[0.0000, 0.5000, 0.0000], [0.5000, 0.0000, 0.0000], [0.0000, 0.0000, 0.5000], [0.5000, 0.5000, 0.5000]], "crystal_system": "tetragonal", "sg": "P4/mmm", "final_energy_ev_per_atom": -1.650}